1.
# BaLiAlPt2 PBE relaxed
# DOS at the Fermi energy = 1.9 states/eV per cell
# calculated formation energy = -0.797 eV/atom
# total magnetization = 0.00 μB per atom
# energy = -4.7290 eV per atom
data_BaLiAlPt2
_chemical_formula_sum 'Ba2 Li2 Al2 Pt4'
_symmetry_space_group_name_H-M 'I -4 m 2'
_symmetry_Int_Tables_number 119
_symmetry_space_group_name_Hall 'I -4 -2'
_cell_length_a 4.316
_cell_length_b 4.316
_cell_length_c 11.305
_cell_angle_alpha 90.00
_cell_angle_beta 90.00
_cell_angle_gamma 90.00
loop_
_atom_site_label
_atom_site_type_symbol
_atom_site_fract_x
_atom_site_fract_y
_atom_site_fract_z
Ba1 Ba 0.000 0.000 0.000
Li1 Li 0.000 0.500 0.250
Al1 Al 0.000 0.500 0.750
Pt1 Pt 0.000 0.000 0.374

2.
# In2SeF PBE relaxed
# DOS at the Fermi energy = 7.2 states/eV per cell
# total magnetization = 0.00 μB per atom
# energy = -3.5393 eV per atom
# formation energy (no corrections) = -3.325 eV/f.u.
data_In2SeF
_chemical_formula_sum 'In8 Se4 F4'
_symmetry_space_group_name_H-M 'F m -3 m'
_symmetry_Int_Tables_number 225
_symmetry_space_group_name_Hall '-F 4 2 3'
_cell_length_a 7.043
_cell_length_b 7.043
_cell_length_c 7.043
_cell_angle_alpha 90.00
_cell_angle_beta 90.00
_cell_angle_gamma 90.00
loop_
_atom_site_label
_atom_site_type_symbol
_atom_site_fract_x
_atom_site_fract_y
_atom_site_fract_z
In1 In 0.250 0.250 0.250
Se1 Se 0.000 0.000 0.000
F1 F 0.000 0.000 0.500

3.
# Y2Er8In PBE relaxed
# DOS at the Fermi energy = 34.8 states/eV per cell
# calculated formation energy = 0.075 eV/atom
# total magnetization = 0.00 μB per atom
# energy = -4.6681 eV per atom
data_Y2Er8In
_chemical_formula_sum 'Y4 Er16 In2'
_symmetry_space_group_name_H-M 'C 1 2/m 1'
_symmetry_Int_Tables_number 12
_cell_length_a 14.960
_cell_length_b 6.560
_cell_length_c 7.233
_cell_angle_alpha 90.00
_cell_angle_beta 106.12
_cell_angle_gamma 90.00
loop_
_symmetry_equiv_pos_as_xyz
'x,y,z'
'-x,-y,-z'
'-x,y,-z'
'x,-y,z'
'x+1/2,y+1/2,z'
'-x+1/2,-y+1/2,-z'
'-x+1/2,y+1/2,-z'
'x+1/2,-y+1/2,z'
loop_
_atom_site_label
_atom_site_type_symbol
_atom_site_fract_x
_atom_site_fract_y
_atom_site_fract_z
Y1 Y 0.167 0.000 0.272
Er1 Er 0.069 0.257 0.862
Er2 Er 0.105 0.500 0.457
Er3 Er 0.245 0.000 0.796
In1 In 0.000 0.000 0.500